ErMgIn2 | Alexandria via LeMat-Bulk | PBE-GGA | relaxed; calculated formation energy = -0.27 eV per atom; spin magnetization = 0.00 Bohr magnetons per cell; E_tot = -12.7 eV/cell; calculated density = 7.15 g/cm³
1.0
3.659 0.000 0.000
0.000 3.659 0.000
0.000 0.000 7.303
Mg In Er
1 2 1
Direct
0.500 0.500 0.000
0.000 0.000 0.770
0.000 0.000 0.230
0.500 0.500 0.500

Er2MgIn | Alexandria via LeMat-Bulk | PBE-GGA | relaxed; calculated formation energy = -0.30 eV per atom; spin magnetization = 0.00 Bohr magnetons per cell; relative energy among the computed polymorphs = 0 meV per atom; E_tot = -14.7 eV/cell; calculated density = 7.61 g/cm³
1.0
5.268 0.000 0.000
2.634 4.562 0.000
2.634 1.521 4.301
Mg In Er
1 1 2
Direct
0.000 0.000 0.000
0.500 0.500 0.500
0.250 0.250 0.250
0.750 0.750 0.750

ErMgIn | Alexandria via LeMat-Bulk | PBE-GGA | relaxed; calculated formation energy = -0.05 eV per atom; spin magnetization = 0.00 Bohr magnetons per cell; E_tot = -18.1 eV/cell; calculated density = 6.36 g/cm³
1.0
3.588 0.000 0.000
0.000 3.588 0.000
-1.794 -1.794 12.424
Er Mg In
2 2 2
Direct
0.568 0.568 0.136
0.432 0.432 0.864
0.286 0.286 0.572
0.714 0.714 0.428
0.148 0.148 0.295
0.852 0.852 0.705

Er6Mg2In | Alexandria via LeMat-Bulk | PBE-GGA | relaxed; calculated formation energy = 0.24 eV per atom; spin magnetization = 1.03 Bohr magnetons per cell; E_tot = -31.2 eV/cell; calculated density = 6.41 g/cm³
1.0
6.968 0.000 0.000
3.484 6.035 0.000
3.484 2.012 7.190
Er Mg In
6 2 1
Direct
0.771 0.278 0.688
0.263 0.771 0.688
0.278 0.263 0.688
0.070 0.565 0.312
0.053 0.070 0.312
0.565 0.053 0.312
0.771 0.771 0.688
0.562 0.562 0.314
0.333 0.333 0.000

ErMg4In2 | Alexandria via LeMat-Bulk | PBE-GGA | relaxed; calculated formation energy = -0.13 eV per atom; spin magnetization = 0.00 Bohr magnetons per cell; E_tot = -34.7 eV/cell; calculated density = 4.82 g/cm³
1.0
4.641 0.000 0.000
0.000 8.561 0.000
0.000 0.000 8.561
Er Mg In
2 8 4
Direct
0.500 0.000 0.000
0.000 0.500 0.500
0.000 0.106 0.352
0.000 0.894 0.648
0.500 0.148 0.606
0.500 0.852 0.394
0.500 0.394 0.852
0.500 0.606 0.148
0.000 0.352 0.106
0.000 0.648 0.894
0.000 0.192 0.808
0.000 0.808 0.192
0.500 0.692 0.692
0.500 0.308 0.308

Er3MgIn2 | Alexandria via LeMat-Bulk | PBE-GGA | relaxed; calculated formation energy = -0.34 eV per atom; spin magnetization = 0.00 Bohr magnetons per cell; relative energy among the computed polymorphs = 16 meV per atom; E_tot = -22.8 eV/cell; calculated density = 8.05 g/cm³
1.0
3.721 0.000 0.000
0.000 3.721 0.000
0.000 0.000 11.262
Er Mg In
3 1 2
Direct
0.000 0.000 0.000
0.000 0.000 0.663
0.000 0.000 0.337
0.500 0.500 0.500
0.500 0.500 0.827
0.500 0.500 0.173